No. 1
An optimized crystal structure of Rb2CeTiS5. Source: Alexandria, functional PBE.

Summary:
- Uncorrected formation energy: -1.43 eV/atom

```
data_Rb2CeTiS5
_chemical_formula_sum 'Rb4 Ce2 Ti2 S10'
_space_group_name_H-M_alt 'P 1'
_space_group_IT_number 1
_cell_length_a 9.777
_cell_length_b 9.777
_cell_length_c 14.194
_cell_angle_alpha 90.00
_cell_angle_beta 90.00
_cell_angle_gamma 155.32
loop_
_space_group_symop_operation_xyz
'x,y,z'
loop_
_atom_site_label
_atom_site_fract_x
_atom_site_fract_y
_atom_site_fract_z
Rb1 0.121 0.879 0.500
Rb2 0.131 0.869 0.152
Rb3 0.869 0.131 0.652
Rb4 0.879 0.121 0.000
Ce1 0.204 0.796 0.854
Ce2 0.796 0.204 0.354
Ti1 0.439 0.561 0.248
Ti2 0.561 0.439 0.748
S1 0.048 0.952 0.827
S2 0.306 0.694 0.472
S3 0.322 0.678 0.215
S4 0.333 0.667 0.828
S5 0.493 0.507 0.115
S6 0.507 0.493 0.615
S7 0.667 0.333 0.328
S8 0.678 0.322 0.715
S9 0.694 0.306 0.972
S10 0.952 0.048 0.327
```



No. 2
An optimized crystal structure of Rb3Ce2TlS6. Source: Alexandria, functional PBE.

Summary:
- Uncorrected formation energy: -1.43 eV/atom

```
data_Rb3Ce2TlS6
_chemical_formula_sum 'Rb3 Ce2 Tl1 S6'
_space_group_name_H-M_alt 'P 1'
_space_group_IT_number 1
_cell_length_a 9.951
_cell_length_b 9.951
_cell_length_c 9.189
_cell_angle_alpha 104.96
_cell_angle_beta 104.96
_cell_angle_gamma 24.65
loop_
_space_group_symop_operation_xyz
'x,y,z'
loop_
_atom_site_label
_atom_site_fract_x
_atom_site_fract_y
_atom_site_fract_z
Rb1 0.000 0.000 0.000
Rb2 0.347 0.347 0.660
Rb3 0.653 0.653 0.340
Ce1 0.331 0.331 0.166
Ce2 0.669 0.669 0.834
Tl1 0.000 0.000 0.500
S1 0.174 0.174 0.644
S2 0.180 0.180 0.047
S3 0.469 0.469 0.240
S4 0.531 0.531 0.760
S5 0.820 0.820 0.953
S6 0.826 0.826 0.356
```



No. 3
An optimized crystal structure of Rb2CeTm2S6. Source: Alexandria, functional PBE.

Summary:
- Uncorrected formation energy: -1.85 eV/atom

```
data_Rb2CeTm2S6
_chemical_formula_sum 'Rb2 Ce1 Tm2 S6'
_space_group_name_H-M_alt 'P 1'
_space_group_IT_number 1
_cell_length_a 6.947
_cell_length_b 6.947
_cell_length_c 8.188
_cell_angle_alpha 98.17
_cell_angle_beta 98.17
_cell_angle_gamma 120.08
loop_
_space_group_symop_operation_xyz
'x,y,z'
loop_
_atom_site_label
_atom_site_fract_x
_atom_site_fract_y
_atom_site_fract_z
Rb1 0.167 0.833 0.000
Rb2 0.833 0.167 0.000
Ce1 0.000 0.000 0.500
Tm1 0.334 0.666 0.500
Tm2 0.666 0.334 0.500
S1 0.060 0.397 0.685
S2 0.272 0.272 0.315
S3 0.397 0.060 0.685
S4 0.603 0.940 0.315
S5 0.728 0.728 0.685
S6 0.940 0.603 0.315
```



No. 4
An optimized crystal structure of Rb2Ce2TmS6. Source: Alexandria, functional PBE.

Summary:
- Uncorrected formation energy: -1.84 eV/atom

```
data_Rb2Ce2TmS6
_chemical_formula_sum 'Rb2 Ce2 Tm1 S6'
_space_group_name_H-M_alt 'P 1'
_space_group_IT_number 1
_cell_length_a 7.092
_cell_length_b 7.092
_cell_length_c 8.159
_cell_angle_alpha 98.31
_cell_angle_beta 98.31
_cell_angle_gamma 119.80
loop_
_space_group_symop_operation_xyz
'x,y,z'
loop_
_atom_site_label
_atom_site_fract_x
_atom_site_fract_y
_atom_site_fract_z
Rb1 0.167 0.833 0.000
Rb2 0.833 0.167 0.000
Ce1 0.334 0.666 0.500
Ce2 0.666 0.334 0.500
Tm1 0.000 0.000 0.500
S1 0.059 0.389 0.686
S2 0.262 0.262 0.314
S3 0.389 0.059 0.686
S4 0.611 0.941 0.314
S5 0.738 0.738 0.686
S6 0.941 0.611 0.314
```



No. 5
An optimized crystal structure of RbCeUS4. Source: Alexandria, functional PBE.

Summary:
- Uncorrected formation energy: -1.57 eV/atom

```
data_RbCeUS4
_chemical_formula_sum 'Rb2 Ce2 U2 S8'
_space_group_name_H-M_alt 'P 1'
_space_group_IT_number 1
_cell_length_a 8.574
_cell_length_b 8.574
_cell_length_c 8.574
_cell_angle_alpha 121.21
_cell_angle_beta 118.62
_cell_angle_gamma 90.16
loop_
_space_group_symop_operation_xyz
'x,y,z'
loop_
_atom_site_label
_atom_site_fract_x
_atom_site_fract_y
_atom_site_fract_z
Rb1 0.381 0.131 0.250
Rb2 0.619 0.869 0.750
Ce1 0.000 0.500 0.500
Ce2 0.500 0.500 0.000
U1 0.000 0.000 0.500
U2 0.000 0.500 0.000
S1 0.183 0.733 0.450
S2 0.216 0.267 0.950
S3 0.223 0.261 0.538
S4 0.223 0.685 0.962
S5 0.777 0.315 0.038
S6 0.777 0.739 0.462
S7 0.784 0.733 0.050
S8 0.817 0.267 0.550
```



No. 6
An optimized crystal structure of Rb4CeU3S12. Source: Alexandria, functional PBE.

Summary:
- Uncorrected formation energy: -1.39 eV/atom

```
data_Rb4CeU3S12
_chemical_formula_sum 'Rb4 Ce1 U3 S12'
_space_group_name_H-M_alt 'P 1'
_space_group_IT_number 1
_cell_length_a 9.085
_cell_length_b 9.085
_cell_length_c 9.085
_cell_angle_alpha 109.47
_cell_angle_beta 109.47
_cell_angle_gamma 109.47
loop_
_space_group_symop_operation_xyz
'x,y,z'
loop_
_atom_site_label
_atom_site_fract_x
_atom_site_fract_y
_atom_site_fract_z
Rb1 0.000 0.000 0.500
Rb2 0.000 0.500 0.000
Rb3 0.500 0.000 0.000
Rb4 0.500 0.500 0.500
Ce1 0.000 0.000 0.000
U1 0.000 0.500 0.500
U2 0.500 0.000 0.500
U3 0.500 0.500 0.000
S1 0.000 0.258 0.258
S2 0.000 0.742 0.742
S3 0.250 0.500 0.750
S4 0.250 0.750 0.500
S5 0.258 0.000 0.258
S6 0.258 0.258 0.000
S7 0.500 0.250 0.750
S8 0.500 0.750 0.250
S9 0.742 0.000 0.742
S10 0.742 0.742 0.000
S11 0.750 0.250 0.500
S12 0.750 0.500 0.250
```



No. 7
An optimized crystal structure of Rb2CeU2S6. Source: Alexandria, functional PBE.

Summary:
- Uncorrected formation energy: -1.55 eV/atom

```
data_Rb2CeU2S6
_chemical_formula_sum 'Rb2 Ce1 U2 S6'
_space_group_name_H-M_alt 'P 1'
_space_group_IT_number 1
_cell_length_a 7.078
_cell_length_b 7.078
_cell_length_c 8.210
_cell_angle_alpha 98.06
_cell_angle_beta 98.06
_cell_angle_gamma 120.27
loop_
_space_group_symop_operation_xyz
'x,y,z'
loop_
_atom_site_label
_atom_site_fract_x
_atom_site_fract_y
_atom_site_fract_z
Rb1 0.165 0.835 0.000
Rb2 0.835 0.165 0.000
Ce1 0.000 0.000 0.500
U1 0.335 0.665 0.500
U2 0.665 0.335 0.500
S1 0.058 0.404 0.686
S2 0.280 0.280 0.312
S3 0.404 0.058 0.686
S4 0.596 0.942 0.314
S5 0.720 0.720 0.688
S6 0.942 0.596 0.314
```



No. 8
An optimized crystal structure of Rb3CeU2S6. Source: Alexandria, functional PBE.

Summary:
- Uncorrected formation energy: -1.49 eV/atom

```
data_Rb3CeU2S6
_chemical_formula_sum 'Rb3 Ce1 U2 S6'
_space_group_name_H-M_alt 'P 1'
_space_group_IT_number 1
_cell_length_a 7.137
_cell_length_b 7.137
_cell_length_c 8.103
_cell_angle_alpha 98.45
_cell_angle_beta 98.45
_cell_angle_gamma 120.00
loop_
_space_group_symop_operation_xyz
'x,y,z'
loop_
_atom_site_label
_atom_site_fract_x
_atom_site_fract_y
_atom_site_fract_z
Rb1 0.000 0.000 0.000
Rb2 0.335 0.665 0.000
Rb3 0.665 0.335 0.000
Ce1 0.500 0.500 0.500
U1 0.167 0.833 0.500
U2 0.833 0.167 0.500
S1 0.093 0.435 0.305
S2 0.222 0.222 0.694
S3 0.435 0.093 0.305
S4 0.565 0.907 0.695
S5 0.778 0.778 0.306
S6 0.907 0.565 0.695
```



No. 9
An optimized crystal structure of Rb3Ce3VS8. Source: Alexandria, functional PBE.

Summary:
- Uncorrected formation energy: -1.57 eV/atom

```
data_Rb3Ce3VS8
_chemical_formula_sum 'Rb3 Ce3 V1 S8'
_space_group_name_H-M_alt 'P 1'
_space_group_IT_number 1
_cell_length_a 9.096
_cell_length_b 9.096
_cell_length_c 9.096
_cell_angle_alpha 52.61
_cell_angle_beta 52.61
_cell_angle_gamma 52.61
loop_
_space_group_symop_operation_xyz
'x,y,z'
loop_
_atom_site_label
_atom_site_fract_x
_atom_site_fract_y
_atom_site_fract_z
Rb1 0.000 0.500 0.500
Rb2 0.500 0.000 0.500
Rb3 0.500 0.500 0.000
Ce1 0.000 0.000 0.500
Ce2 0.000 0.500 0.000
Ce3 0.500 0.000 0.000
V1 0.500 0.500 0.500
S1 0.233 0.233 0.233
S2 0.250 0.714 0.714
S3 0.286 0.286 0.750
S4 0.286 0.750 0.286
S5 0.714 0.250 0.714
S6 0.714 0.714 0.250
S7 0.750 0.286 0.286
S8 0.767 0.767 0.767
```



No. 10
An optimized crystal structure of RbCeVS4. Source: Alexandria, functional PBE.

Summary:
- Uncorrected formation energy: -1.39 eV/atom

```
data_RbCeVS4
_chemical_formula_sum 'Rb2 Ce2 V2 S8'
_space_group_name_H-M_alt 'P 1'
_space_group_IT_number 1
_cell_length_a 6.661
_cell_length_b 6.539
_cell_length_c 9.160
_cell_angle_alpha 90.00
_cell_angle_beta 107.75
_cell_angle_gamma 90.00
loop_
_space_group_symop_operation_xyz
'x,y,z'
loop_
_atom_site_label
_atom_site_fract_x
_atom_site_fract_y
_atom_site_fract_z
Rb1 0.227 0.250 0.437
Rb2 0.773 0.750 0.563
Ce1 0.264 0.250 0.950
Ce2 0.736 0.750 0.050
V1 0.279 0.750 0.172
V2 0.721 0.250 0.828
S1 0.080 0.750 0.325
S2 0.083 0.750 0.929
S3 0.495 0.507 0.796
S4 0.495 0.993 0.796
S5 0.505 0.007 0.204
S6 0.505 0.493 0.204
S7 0.917 0.250 0.071
S8 0.920 0.250 0.675
```



> Number 5 is which compound?

RbCeUS4



> Which formula does entry 1 have?

Rb2CeTiS5